1.
# LaNiBi2

Crystalline LaNiBi2 at its relaxed geometry (GGA-PBE, Alexandria via LeMat-Bulk).

Lattice parameters (Å, degrees): 5.4579 5.4579 17.2350 90.00 90.00 90.00
Space group I-42d (No. 122)
Inequivalent atoms, fractional coordinates:
La: 0.0000 0.0000 0.0000
Ni: 0.0000 0.0000 0.5000
Bi: 0.1307 0.2500 0.6250

Summary:
The crystal system is tetragonal. As for the calculated total energy: -18.7 eV/f.u.

=====

2.
# SnIr2O

Crystalline SnIr2O at its relaxed geometry (GGA-PBE, Alexandria via LeMat-Bulk).

Lattice parameters (Å, degrees): 4.7319 4.7319 12.9067 90.00 90.00 90.00
Space group I-42d (No. 122)
Inequivalent atoms, fractional coordinates:
Sn: 0.0000 0.0000 0.0000
Ir: 0.0965 0.2500 0.6250
O: 0.0000 0.0000 0.5000

Summary:
The crystal system is tetragonal. Its formation energy from raw total energies is 0.10 eV/atom. As for the energy above the most stable polymorph in this dataset: 0.000 eV per atom.

=====

3.
# ScReHg

Crystalline ScReHg at its relaxed geometry (GGA-PBE, Alexandria via LeMat-Bulk).

Lattice parameters (Å, degrees): 3.4830 4.6584 13.7980 90.00 90.00 90.00
Space group Fmm2 (No. 42)
Inequivalent atoms, fractional coordinates:
Sc: 0.0000 0.0000 0.0000
Re: 0.0000 0.0000 0.6485
Hg: 0.0000 0.0000 0.3202

Summary:
The crystal system is orthorhombic. As for the energy above the most stable polymorph in this dataset: 0.000 eV per atom.

=====

4.
# Na2ZnCd

Crystalline Na2ZnCd at its relaxed geometry (GGA-PBE, Alexandria via LeMat-Bulk).

Lattice parameters (Å, degrees): 3.3283 3.3283 31.2329 90.00 90.00 120.00
Space group R3m (No. 160, hexagonal axes)
Inequivalent atoms, fractional coordinates:
Na: 0.0000 0.0000 0.0000
Na: 0.0000 0.0000 0.1743
Zn: 0.0000 0.0000 0.5870
Cd: 0.0000 0.0000 0.4206

Summary:
The crystal system is trigonal. As for the calculated total energy: -4.5 eV/f.u.

=====

5.
# KZn2Cu

Crystalline KZn2Cu at its relaxed geometry (GGA-PBE, Alexandria via LeMat-Bulk).

Lattice parameters (Å, degrees): 5.9588 10.3326 2.7410 90.00 90.00 90.00
Space group Cmmm (No. 65)
Inequivalent atoms, fractional coordinates:
K: 0.0000 0.0000 0.0000
Zn: 0.2500 0.2500 0.5000
Cu: 0.0000 0.5000 0.0000

Summary:
The crystal system is orthorhombic. As for the calculated total energy: -5.8 eV/f.u.

=====

6.
# BaPbAu3

Crystalline BaPbAu3 at its relaxed geometry (GGA-PBE, Alexandria via LeMat-Bulk).

Lattice parameters (Å, degrees): 5.4717 5.4717 5.4717 90.00 90.00 90.00
Space group Pm-3m (No. 221)
Inequivalent atoms, fractional coordinates:
Ba: 0.0000 0.0000 0.0000
Pb: 0.5000 0.5000 0.5000
Au: 0.0000 0.5000 0.5000

Summary:
The crystal system is cubic. As for the energy above the most stable polymorph in this dataset: 0.249 eV per atom.

=====

7.
# Rb2TmPuS4

Crystalline Rb2TmPuS4 at its relaxed geometry (GGA-PBE, Alexandria via LeMat-Bulk).

Lattice parameters (Å, degrees): 7.0997 4.0904 8.0127 90.00 107.17 90.00
Space group P2/m (No. 10)
Inequivalent atoms, fractional coordinates:
Rb: 0.0000 0.0000 0.0000
Rb: 0.5000 0.5000 0.0000
Tm: 0.0000 0.5000 0.5000
Pu: 0.5000 0.0000 0.5000
S: 0.2237 0.0000 0.6905
S: 0.2649 0.5000 0.3105

Summary:
The crystal system is monoclinic. Its formation energy from raw total energies is -1.69 eV/atom.

=====

8.
# Ba6Co25S27

Crystalline Ba6Co25S27 at its relaxed geometry (GGA-PBE, Alexandria via LeMat-Bulk).

Lattice parameters (Å, degrees): 9.9846 9.9846 9.9846 90.00 90.00 90.00
Space group Pm-3m (No. 221)
Inequivalent atoms, fractional coordinates:
Ba: 0.0000 0.0000 0.3057
Co: 0.1303 0.3710 0.3710
Co: 0.5000 0.5000 0.5000
S: 0.0000 0.0000 0.0000
S: 0.0000 0.2554 0.5000
S: 0.2393 0.2393 0.2393
S: 0.2607 0.5000 0.5000

Summary:
The crystal system is cubic. Its formation energy from raw total energies is -0.72 eV/atom.

=====

9.
# InCo2Pt2

Crystalline InCo2Pt2 at its relaxed geometry (GGA-PBE, Alexandria via LeMat-Bulk).

Lattice parameters (Å, degrees): 3.4223 3.4223 13.5502 90.00 90.00 90.00
Space group I4/mmm (No. 139)
Inequivalent atoms, fractional coordinates:
In: 0.0000 0.0000 0.0000
Co: 0.0000 0.5000 0.2500
Pt: 0.0000 0.0000 0.3936

Summary:
The crystal system is tetragonal. As for the energy above the most stable polymorph in this dataset: 0.002 eV per atom.

=====

10.
# In3FeSe

Crystalline In3FeSe at its relaxed geometry (GGA-PBE, Alexandria via LeMat-Bulk).

Lattice parameters (Å, degrees): 5.0655 5.0655 5.0655 90.00 90.00 90.00
Space group Pm-3m (No. 221)
Inequivalent atoms, fractional coordinates:
In: 0.0000 0.0000 0.5000
Fe: 0.0000 0.0000 0.0000
Se: 0.5000 0.5000 0.5000

Summary:
The crystal system is cubic. Its formation energy from raw total energies is 0.23 eV/atom. As for the energy above the most stable polymorph in this dataset: 0.000 eV per atom.

=====

11.
# Ba2Y2Si

Crystalline Ba2Y2Si at its relaxed geometry (GGA-PBE, Alexandria via LeMat-Bulk).

Lattice parameters (Å, degrees): 8.3449 8.3449 5.4750 90.00 90.00 90.00
Space group P4/mbm (No. 127)
Inequivalent atoms, fractional coordinates:
Ba: 0.1449 0.3551 0.0000
Y: 0.1633 0.6633 0.5000
Si: 0.0000 0.0000 0.0000

Summary:
The crystal system is tetragonal. Its formation energy from raw total energies is 0.56 eV/atom. As for the energy above the most stable polymorph in this dataset: 0.207 eV per atom.

=====

12.
# Np4TiS8

Crystalline Np4TiS8 at its relaxed geometry (GGA-PBE, Alexandria via LeMat-Bulk).

Lattice parameters (Å, degrees): 9.0479 9.0479 6.8938 90.00 90.00 90.00
Space group I4/mmm (No. 139)
Inequivalent atoms, fractional coordinates:
Np: 0.2500 0.2500 0.2500
Ti: 0.0000 0.0000 0.0000
S: 0.0000 0.2476 0.5000
S: 0.0000 0.2601 0.0000

Summary:
The crystal system is tetragonal. Its formation energy from raw total energies is -1.09 eV/atom.

=====

no.,theoretical density (g/cm³)
1,7.964
2,11.932
3,12.810
4,3.721
5,4.594
6,9.482
7,5.319
8,5.277
9,13.034
10,6.123
11,4.186
12,7.370